A plane-wave DFT calculation with PBE was carried out for an optimized crystal structure of Ti2Be2Ge.

Lattice parameters (Å, degrees): 5.902 5.902 3.692 90.00 90.00 90.00
Space group P4/mbm (No. 127)
Asymmetric unit:
Ti 0.169 0.331 0.000 x4
Be 0.123 0.623 0.500 x4
Ge 0.000 0.000 0.500 x2

As for the total energy: -5.9286 eV/atom. The calculation puts the formation energy at -357 meV per atom.

=====

A plane-wave DFT calculation with PBE was carried out for an optimized crystal structure of Cs2Ce2SnSe6.

Lattice parameters (Å, degrees): 7.479 12.984 8.782 90.00 105.58 90.00
Space group C2/m (No. 12)
Asymmetric unit:
Cs 0.000 0.161 0.000 x4
Ce 0.000 0.334 0.500 x4
Sn 0.000 0.000 0.500 x2
Se 0.210 0.500 0.682 x4
Se 0.230 0.174 0.681 x8

As for the total energy: -4.8746 eV/atom. The calculation puts the raw formation energy at -1376 meV/atom.

=====

A plane-wave DFT calculation with PBE was carried out for an optimized crystal structure of SrYOs2.

Lattice parameters (Å, degrees): 6.849 6.849 6.849 90.00 90.00 90.00
Space group F-43m (No. 216)
Asymmetric unit:
Sr 0.000 0.000 0.000 x4
Y 0.250 0.250 0.750 x4
Os 0.000 0.000 0.500 x4
Os 0.250 0.250 0.250 x4

As for the total energy: -6.9253 eV/atom. The calculation puts the formation energy at 726 meV per atom. For the energy above the most stable polymorph in this dataset, the calculation gives 586 meV per atom.

=====

A plane-wave DFT calculation with PBE was carried out for an optimized crystal structure of In5Bi4Pb2.

Lattice parameters (Å, degrees): 8.680 3.427 11.328 90.00 91.30 90.00
Space group P2/m (No. 10)
Asymmetric unit:
In 0.000 0.000 0.000 x1
In 0.071 0.000 0.273 x2
In 0.294 0.000 0.828 x2
Bi 0.169 0.500 0.563 x2
Bi 0.349 0.500 0.087 x2
Pb 0.424 0.000 0.357 x2

As for the total energy: -3.2768 eV/atom. The calculation puts the formation energy at 53 meV per atom.

=====

A plane-wave DFT calculation with PBE was carried out for an optimized crystal structure of CdFe2Cl.

Lattice parameters (Å, degrees): 3.149 3.043 7.396 90.00 90.10 90.00
Space group Pm (No. 6)
Asymmetric unit:
Cd 0.000 0.000 0.000 x1
Fe 0.498 0.500 0.761 x1
Fe 0.997 0.000 0.602 x1
Cl 0.999 0.500 0.356 x1

As for the total energy: -4.8402 eV/atom. For the energy above the most stable polymorph in this dataset, the calculation gives 0 meV per atom. The calculation puts the raw formation energy at 82 meV/atom.

=====

A plane-wave DFT calculation with PBE was carried out for an optimized crystal structure of AlHgGe.

Lattice parameters (Å, degrees): 4.2208 4.2208 4.2934 90.00 90.00 120.00
Space group P3m1 (No. 156)
Asymmetric unit:
Al 0.0000 0.0000 0.0000 x1
Hg 0.3333 0.6667 0.3934 x1
Ge 0.6667 0.3333 0.8170 x1

As for the total energy: -2.6921 eV/atom. The calculation puts the formation energy at 195 meV per atom. For the energy above the most stable polymorph in this dataset, the calculation gives 35 meV per atom.